P | MnCo2Rh2 | PBE | optimized geometry

abc: 6.132 6.132 3.491
angles: 90.00 90.00 90.00
Space group P4/mbm (No. 127)
Symmetry-distinct sites (fractional):
Mn1 0.000 0.000 0.000 (multiplicity 2)
Co1 0.131 0.369 0.000 (multiplicity 4)
Rh1 0.165 0.665 0.500 (multiplicity 4)

Output
Magnetization in μB/f.u.: 1.06



Q | MnCo2Rh2 | PBE | optimized geometry

abc: 3.606 3.606 10.752
angles: 90.00 90.00 90.00
Space group I4/mmm (No. 139)
Symmetry-distinct sites (fractional):
Mn1 0.000 0.000 0.000 (multiplicity 2)
Co1 0.000 0.000 0.404 (multiplicity 4)
Rh1 0.000 0.500 0.250 (multiplicity 4)

Output
Magnetization in μB/f.u.: 3.15



Most stable = P



P | MnCoRu2 | PBE | optimized geometry

abc: 8.679 2.644 4.474
angles: 90.00 100.22 90.00
Space group Cm (No. 8)
Symmetry-distinct sites (fractional):
Mn1 0.000 0.000 0.000 (multiplicity 2)
Co1 0.247 0.500 0.235 (multiplicity 2)
Ru1 0.248 0.000 0.741 (multiplicity 2)
Ru2 0.495 0.000 0.484 (multiplicity 2)

Output
Magnetization in μB/f.u.: 1.95



Q | MnCoRu2 | PBE | optimized geometry

abc: 2.697 2.697 7.062
angles: 90.00 90.00 90.00
Space group P4mm (No. 99)
Symmetry-distinct sites (fractional):
Mn1 0.000 0.000 0.000 (multiplicity 1)
Co1 0.500 0.500 0.771 (multiplicity 1)
Ru1 0.000 0.000 0.526 (multiplicity 1)
Ru2 0.500 0.500 0.258 (multiplicity 1)

Output
Magnetization in μB/f.u.: 3.82



Most stable = P



P | MnCoRu2 | PBE | optimized geometry

abc: 2.650 3.666 5.195
angles: 90.00 90.00 90.00
Space group Pmm2 (No. 25)
Symmetry-distinct sites (fractional):
Mn1 0.000 0.000 0.000 (multiplicity 1)
Co1 0.500 0.500 0.768 (multiplicity 1)
Ru1 0.000 0.000 0.522 (multiplicity 1)
Ru2 0.500 0.500 0.259 (multiplicity 1)

Output
Magnetization in μB/f.u.: 2.14



Q | MnCoRu2 | PBE | optimized geometry

abc: 2.797 4.450 8.549
angles: 90.00 90.00 90.00
Space group Cmm2 (No. 35)
Symmetry-distinct sites (fractional):
Mn1 0.000 0.000 0.000 (multiplicity 2)
Co1 0.000 0.500 0.233 (multiplicity 2)
Ru1 0.000 0.000 0.483 (multiplicity 2)
Ru2 0.000 0.500 0.751 (multiplicity 2)

Output
Magnetization in μB/f.u.: 5.40



Most stable = P



P | MnCoRu2 | PBE | optimized geometry

abc: 3.730 3.730 7.205
angles: 90.00 90.00 90.00
Space group I4/mmm (No. 139)
Symmetry-distinct sites (fractional):
Mn1 0.000 0.000 0.000 (multiplicity 2)
Co1 0.000 0.000 0.500 (multiplicity 2)
Ru1 0.000 0.500 0.250 (multiplicity 4)

Output
Magnetization in μB/f.u.: 0.68



Q | MnCoRu2 | PBE | optimized geometry

abc: 5.274 7.240 2.640
angles: 90.00 90.00 90.00
Space group Cmmm (No. 65)
Symmetry-distinct sites (fractional):
Mn1 0.000 0.000 0.000 (multiplicity 2)
Co1 0.000 0.500 0.000 (multiplicity 2)
Ru1 0.250 0.250 0.500 (multiplicity 4)

Output
Magnetization in μB/f.u.: 0.91



Most stable = P



P | MnCoRu2 | PBE | optimized geometry

abc: 2.629 2.629 7.248
angles: 90.00 90.00 90.00
Space group P4/mmm (No. 123)
Symmetry-distinct sites (fractional):
Mn1 0.000 0.000 0.000 (multiplicity 1)
Co1 0.000 0.000 0.500 (multiplicity 1)
Ru1 0.500 0.500 0.250 (multiplicity 2)

Output
Magnetization in μB/f.u.: 0.03



Q | MnCoRu2 | PBE | optimized geometry

abc: 3.680 3.680 7.453
angles: 90.00 90.00 90.00
Space group I-4m2 (No. 119)
Symmetry-distinct sites (fractional):
Mn1 0.000 0.000 0.000 (multiplicity 2)
Co1 0.000 0.500 0.250 (multiplicity 2)
Ru1 0.000 0.000 0.500 (multiplicity 2)
Ru2 0.000 0.500 0.750 (multiplicity 2)

Output
Magnetization in μB/f.u.: 1.25



R | MnCoRu2 | PBE | optimized geometry

abc: 5.992 5.992 5.992
angles: 90.00 90.00 90.00
Space group F-43m (No. 216)
Symmetry-distinct sites (fractional):
Mn1 0.000 0.000 0.000 (multiplicity 4)
Co1 0.250 0.250 0.250 (multiplicity 4)
Ru1 0.000 0.000 0.500 (multiplicity 4)
Ru2 0.250 0.250 0.750 (multiplicity 4)

Output
Magnetization in μB/f.u.: 6.61



Most stable = Q



P | MnCoRu2 | PBE | optimized geometry

abc: 8.533 2.643 4.599
angles: 90.00 100.32 90.00
Space group C2/m (No. 12)
Symmetry-distinct sites (fractional):
Mn1 0.000 0.000 0.000 (multiplicity 2)
Co1 0.000 0.500 0.500 (multiplicity 2)
Ru1 0.250 0.000 0.747 (multiplicity 4)

Output
Magnetization in μB/f.u.: 1.01



Q | MnCoRu2 | PBE | optimized geometry

abc: 2.6457 2.6457 25.1923
angles: 90.00 90.00 120.00
Space group R3m (No. 160, hexagonal axes)
Symmetry-distinct sites (fractional):
Mn1 0.0000 0.0000 0.0000 (multiplicity 3)
Co1 0.0000 0.0000 0.2543 (multiplicity 3)
Ru1 0.0000 0.0000 0.5040 (multiplicity 3)
Ru2 0.0000 0.0000 0.7482 (multiplicity 3)

Output
Magnetization in μB/f.u.: 2.58



Most stable = P